Entry from Alexandria: Li3ScIn4 after structural relaxation (GGA-PBE).

a = 8.5128 Å, b = 8.5128 Å, c = 8.5128 Å
α = 33.12°, β = 33.12°, γ = 33.12°
With the nearest neighbours (Å) after each atom.
Element x y z (fractional)
Li (0.0000, 0.0000, 0.0000)  8 In 2.91-2.96
Li (0.2488, 0.2488, 0.2488)  8 In 2.93-3.09
Li (0.7512, 0.7512, 0.7512)  8 In 2.93-3.09
Sc (0.5000, 0.5000, 0.5000)  8 In 3.01-3.07
In (0.1208, 0.1208, 0.1208)  5 Li 2.91-3.09, 3 Sc 3.01
In (0.3728, 0.3728, 0.3728)  7 Li 2.96-3.00, 1 Sc 3.07
In (0.6272, 0.6272, 0.6272)  7 Li 2.96-3.00, 1 Sc 3.07
In (0.8792, 0.8792, 0.8792)  5 Li 2.91-3.09, 3 Sc 3.01

**VASP energy**: -3.20 eV/atom